# 1
A relaxed Pm8C3Cl3O crystal. Source: Alexandria, functional PBE.

a b c (Å): 7.4908 7.4908 8.0869
angles (deg): 117.67 117.67 59.91
Last column: nearest neighbours and their distance in Å.
Fractional positions:
Pm  0.2263  0.7367  0.6993  2 C 2.53-2.54, 1 O 2.59
Pm  0.2328  0.2328  0.6980  3 C 2.55
Pm  0.2633  0.7737  0.3007  2 C 2.53-2.54, 1 O 2.59
Pm  0.2637  0.2637  0.3009  2 C 2.54, 1 O 2.59
Pm  0.7363  0.7363  0.6991  2 C 2.54, 1 O 2.59
Pm  0.7367  0.2263  0.6993  2 C 2.53-2.54, 1 O 2.59
Pm  0.7672  0.7672  0.3020  3 C 2.55
Pm  0.7737  0.2633  0.3007  2 C 2.53-2.54, 1 O 2.59
C  0.0000  0.0000  0.5000  6 Pm 2.53-2.55
C  0.0000  0.5000  0.5000  6 Pm 2.54-2.55
C  0.5000  0.0000  0.5000  6 Pm 2.54-2.55
Cl  0.0000  0.5000  0.0000  6 Pm 2.99-3.00
Cl  0.5000  0.0000  0.0000  6 Pm 2.99-3.00
Cl  0.5000  0.5000  0.0000  6 Pm 2.99-3.00
O  0.5000  0.5000  0.5000  6 Pm 2.59

Results
Fermi-level density of states (states/eV/atom): 0.3555
E (Ry/atom): -0.4590
Uncorrected formation energy (eV/atom): -1.166
Space group: C2/m, No. 12


# 2
A relaxed Tm3Hf5Pd12 crystal. Source: Alexandria, functional PBE.

a b c (Å): 13.4476 13.4476 13.4476
angles (deg): 109.47 109.47 109.47
Last column: nearest neighbours and their distance in Å.
Fractional positions:
Tm  0.1250  0.2500  0.3750  8 Pd 2.74-2.86
Tm  0.1250  0.3750  0.7500  8 Pd 2.74-2.86
Tm  0.2500  0.3750  0.1250  8 Pd 2.74-2.86
Tm  0.2500  0.8750  0.6250  8 Pd 2.74-2.86
Tm  0.3750  0.1250  0.2500  8 Pd 2.74-2.86
Tm  0.3750  0.7500  0.1250  8 Pd 2.74-2.86
Tm  0.6250  0.2500  0.8750  8 Pd 2.74-2.86
Tm  0.6250  0.8750  0.7500  8 Pd 2.74-2.86
Tm  0.7500  0.1250  0.3750  8 Pd 2.74-2.86
Tm  0.7500  0.6250  0.8750  8 Pd 2.74-2.86
Tm  0.8750  0.6250  0.2500  8 Pd 2.74-2.86
Tm  0.8750  0.7500  0.6250  8 Pd 2.74-2.86
Hf  0.0000  0.0000  0.0000  6 Pd 2.66
Hf  0.0000  0.0000  0.5000  6 Pd 2.66
Hf  0.0000  0.5000  0.0000  6 Pd 2.66
Hf  0.0000  0.5000  0.5000  6 Pd 2.66
Hf  0.1250  0.7500  0.8750  4 Pd 2.60
Hf  0.1250  0.8750  0.2500  4 Pd 2.60
Hf  0.2500  0.1250  0.8750  4 Pd 2.60
Hf  0.2500  0.6250  0.3750  4 Pd 2.60
Hf  0.3750  0.2500  0.6250  4 Pd 2.60
Hf  0.3750  0.6250  0.7500  4 Pd 2.60
Hf  0.5000  0.0000  0.0000  6 Pd 2.66
Hf  0.5000  0.0000  0.5000  6 Pd 2.66
Hf  0.5000  0.5000  0.0000  6 Pd 2.66
Hf  0.5000  0.5000  0.5000  6 Pd 2.66
Hf  0.6250  0.3750  0.2500  4 Pd 2.60
Hf  0.6250  0.7500  0.3750  4 Pd 2.60
Hf  0.7500  0.3750  0.6250  4 Pd 2.60
Hf  0.7500  0.8750  0.1250  4 Pd 2.60
Hf  0.8750  0.1250  0.7500  4 Pd 2.60
Hf  0.8750  0.2500  0.1250  4 Pd 2.60
Pd  0.0639  0.2287  0.1406  2 Hf 2.60-2.66, 2 Tm 2.74-2.86, 1 Pd 2.84
Pd  0.0639  0.3352  0.9232  2 Hf 2.60-2.66, 2 Tm 2.74-2.86, 1 Pd 2.84
Pd  0.0768  0.6406  0.4119  2 Hf 2.60-2.66, 2 Tm 2.74-2.86, 1 Pd 2.84
Pd  0.0768  0.9361  0.6648  2 Hf 2.60-2.66, 2 Tm 2.74-2.86, 1 Pd 2.84
Pd  0.0881  0.7287  0.6648  2 Hf 2.60-2.66, 2 Tm 2.74-2.86, 1 Pd 2.84
Pd  0.0881  0.8594  0.4232  2 Hf 2.60-2.66, 2 Tm 2.74-2.86, 1 Pd 2.84
Pd  0.1406  0.0639  0.2287  2 Hf 2.60-2.66, 2 Tm 2.74-2.86, 1 Pd 2.84
Pd  0.1406  0.5768  0.9119  2 Hf 2.60-2.66, 2 Tm 2.74-2.86, 1 Pd 2.84
Pd  0.1648  0.2287  0.5881  2 Hf 2.60-2.66, 2 Tm 2.74-2.86, 1 Pd 2.84
Pd  0.1648  0.4361  0.5768  2 Hf 2.60-2.66, 2 Tm 2.74-2.86, 1 Pd 2.84
Pd  0.2287  0.1406  0.0639  2 Hf 2.60-2.66, 2 Tm 2.74-2.86, 1 Pd 2.84
Pd  0.2287  0.5881  0.1648  2 Hf 2.60-2.66, 2 Tm 2.74-2.86, 1 Pd 2.84
Pd  0.2713  0.3352  0.9119  2 Hf 2.60-2.66, 2 Tm 2.74-2.86, 1 Pd 2.84
Pd  0.2713  0.4361  0.3594  2 Hf 2.60-2.66, 2 Tm 2.74-2.86, 1 Pd 2.84
Pd  0.3352  0.9119  0.2713  2 Hf 2.60-2.66, 2 Tm 2.74-2.86, 1 Pd 2.84
Pd  0.3352  0.9232  0.0639  2 Hf 2.60-2.66, 2 Tm 2.74-2.86, 1 Pd 2.84
Pd  0.3594  0.2713  0.4361  2 Hf 2.60-2.66, 2 Tm 2.74-2.86, 1 Pd 2.84
Pd  0.3594  0.5881  0.9232  2 Hf 2.60-2.66, 2 Tm 2.74-2.86, 1 Pd 2.84
Pd  0.4119  0.0768  0.6406  2 Hf 2.60-2.66, 2 Tm 2.74-2.86, 1 Pd 2.84
Pd  0.4119  0.8352  0.7713  2 Hf 2.60-2.66, 2 Tm 2.74-2.86, 1 Pd 2.84
Pd  0.4232  0.0881  0.8594  2 Hf 2.60-2.66, 2 Tm 2.74-2.86, 1 Pd 2.84
Pd  0.4232  0.8352  0.5639  2 Hf 2.60-2.66, 2 Tm 2.74-2.86, 1 Pd 2.84
Pd  0.4361  0.3594  0.2713  2 Hf 2.60-2.66, 2 Tm 2.74-2.86, 1 Pd 2.84
Pd  0.4361  0.5768  0.1648  2 Hf 2.60-2.66, 2 Tm 2.74-2.86, 1 Pd 2.84
Pd  0.5639  0.4232  0.8352  2 Hf 2.60-2.66, 2 Tm 2.74-2.86, 1 Pd 2.84
Pd  0.5639  0.6406  0.7287  2 Hf 2.60-2.66, 2 Tm 2.74-2.86, 1 Pd 2.84
Pd  0.5768  0.1648  0.4361  2 Hf 2.60-2.66, 2 Tm 2.74-2.86, 1 Pd 2.84
Pd  0.5768  0.9119  0.1406  2 Hf 2.60-2.66, 2 Tm 2.74-2.86, 1 Pd 2.84
Pd  0.5881  0.1648  0.2287  2 Hf 2.60-2.66, 2 Tm 2.74-2.86, 1 Pd 2.84
Pd  0.5881  0.9232  0.3594  2 Hf 2.60-2.66, 2 Tm 2.74-2.86, 1 Pd 2.84
Pd  0.6406  0.4119  0.0768  2 Hf 2.60-2.66, 2 Tm 2.74-2.86, 1 Pd 2.84
Pd  0.6406  0.7287  0.5639  2 Hf 2.60-2.66, 2 Tm 2.74-2.86, 1 Pd 2.84
Pd  0.6648  0.0768  0.9361  2 Hf 2.60-2.66, 2 Tm 2.74-2.86, 1 Pd 2.84
Pd  0.6648  0.0881  0.7287  2 Hf 2.60-2.66, 2 Tm 2.74-2.86, 1 Pd 2.84
Pd  0.7287  0.5639  0.6406  2 Hf 2.60-2.66, 2 Tm 2.74-2.86, 1 Pd 2.84
Pd  0.7287  0.6648  0.0881  2 Hf 2.60-2.66, 2 Tm 2.74-2.86, 1 Pd 2.84
Pd  0.7713  0.4119  0.8352  2 Hf 2.60-2.66, 2 Tm 2.74-2.86, 1 Pd 2.84
Pd  0.7713  0.8594  0.9361  2 Hf 2.60-2.66, 2 Tm 2.74-2.86, 1 Pd 2.84
Pd  0.8352  0.5639  0.4232  2 Hf 2.60-2.66, 2 Tm 2.74-2.86, 1 Pd 2.84
Pd  0.8352  0.7713  0.4119  2 Hf 2.60-2.66, 2 Tm 2.74-2.86, 1 Pd 2.84
Pd  0.8594  0.4232  0.0881  2 Hf 2.60-2.66, 2 Tm 2.74-2.86, 1 Pd 2.84
Pd  0.8594  0.9361  0.7713  2 Hf 2.60-2.66, 2 Tm 2.74-2.86, 1 Pd 2.84
Pd  0.9119  0.1406  0.5768  2 Hf 2.60-2.66, 2 Tm 2.74-2.86, 1 Pd 2.84
Pd  0.9119  0.2713  0.3352  2 Hf 2.60-2.66, 2 Tm 2.74-2.86, 1 Pd 2.84
Pd  0.9232  0.0639  0.3352  2 Hf 2.60-2.66, 2 Tm 2.74-2.86, 1 Pd 2.84
Pd  0.9232  0.3594  0.5881  2 Hf 2.60-2.66, 2 Tm 2.74-2.86, 1 Pd 2.84
Pd  0.9361  0.6648  0.0768  2 Hf 2.60-2.66, 2 Tm 2.74-2.86, 1 Pd 2.84
Pd  0.9361  0.7713  0.8594  2 Hf 2.60-2.66, 2 Tm 2.74-2.86, 1 Pd 2.84

Results
Fermi-level density of states (states/eV/atom): 0.8163
E (Ry/atom): -0.4737
Formation energy from the elements (eV per formula unit): -3.41
Space group: Ia-3d, No. 230


# 3
A relaxed Ti2VCr2 crystal. Source: Alexandria, functional PBE.

a b c (Å): 5.8953 5.8953 4.2285
angles (deg): 90.00 90.00 90.00
Last column: nearest neighbours and their distance in Å.
Fractional positions:
Ti  0.1741  0.3259  0.0000  6 Cr 2.64-2.80, 1 Ti 2.90
Ti  0.3259  0.8259  0.0000  6 Cr 2.64-2.80, 1 Ti 2.90
Ti  0.6741  0.1741  0.0000  6 Cr 2.64-2.80, 1 Ti 2.90
Ti  0.8259  0.6741  0.0000  6 Cr 2.64-2.80, 1 Ti 2.90
V  0.0000  0.0000  0.5000  4 Cr 2.29
V  0.5000  0.5000  0.5000  4 Cr 2.29
Cr  0.1359  0.6359  0.5000  1 Cr 2.27, 2 V 2.29
Cr  0.3641  0.1359  0.5000  1 Cr 2.27, 2 V 2.29
Cr  0.6359  0.8641  0.5000  1 Cr 2.27, 2 V 2.29
Cr  0.8641  0.3641  0.5000  1 Cr 2.27, 2 V 2.29

Results
Fermi-level density of states (states/eV/atom): 1.6510
E (Ry/atom): -0.6320
Formation energy from the elements (eV per formula unit): 1.16
Space group: P4/mbm, No. 127


# 4
A relaxed Cu2B2Ir crystal. Source: Alexandria, functional PBE.

a b c (Å): 5.6027 5.6027 3.2169
angles (deg): 90.00 90.00 90.00
Last column: nearest neighbours and their distance in Å.
Fractional positions:
Cu  0.1672  0.3328  0.0000  6 B 2.27-2.37
Cu  0.3328  0.8328  0.0000  6 B 2.27-2.37
Cu  0.6672  0.1672  0.0000  6 B 2.27-2.37
Cu  0.8328  0.6672  0.0000  6 B 2.27-2.37
B  0.1131  0.6131  0.5000  1 B 1.79
B  0.3869  0.1131  0.5000  1 B 1.79
B  0.6131  0.8869  0.5000  1 B 1.79
B  0.8869  0.3869  0.5000  1 B 1.79
Ir  0.0000  0.0000  0.5000  4 B 2.26
Ir  0.5000  0.5000  0.5000  4 B 2.26

Results
Fermi-level density of states (states/eV/atom): 0.4691
E (Ry/atom): -0.4339
Formation energy from the elements (eV per formula unit): 0.89
Space group: P4/mbm, No. 127


# 5
A relaxed La2Nd2ErTm crystal. Source: Alexandria, functional PBE.

a b c (Å): 7.1124 5.7418 9.9670
angles (deg): 90.00 90.00 90.00
Last column: nearest neighbours and their distance in Å.
Fractional positions:
La  0.0000  0.0000  0.0000  6 La 3.56-3.81, 6 Nd 3.76, 2 Tm 3.86
La  0.2500  0.5000  0.1771  5 Nd 3.26-3.56
La  0.5000  0.0000  0.0000  6 La 3.56-3.81, 6 Nd 3.76, 2 Tm 3.86
La  0.7500  0.5000  0.8229  5 Nd 3.26-3.56
Nd  0.2500  0.0000  0.3321  3 Tm 3.23-3.56, 2 La 3.26
Nd  0.2500  0.5000  0.8337  2 Tm 3.37, 7 La 3.42-3.76, 2 Er 3.77
Nd  0.7500  0.0000  0.6679  3 Tm 3.23-3.56, 2 La 3.26
Nd  0.7500  0.5000  0.1663  2 Tm 3.37, 7 La 3.42-3.76, 2 Er 3.77
Er  0.0000  0.5000  0.5000  2 Er 3.56, 2 La 3.68, 4 Tm 3.72, 6 Nd 3.77
Er  0.5000  0.5000  0.5000  2 Er 3.56, 2 La 3.68, 4 Tm 3.72, 6 Nd 3.77
Tm  0.2500  0.0000  0.6559  5 Nd 3.23-3.56
Tm  0.7500  0.0000  0.3441  5 Nd 3.23-3.56

Results
Fermi-level density of states (states/eV/atom): 1.5381
E (Ry/atom): -0.3440
Formation energy from the elements (eV per formula unit): 0.34
Space group: Pmma, No. 51


# 6
A relaxed ScBi2BI crystal. Source: Alexandria, functional PBE.

a b c (Å): 5.0854 5.0854 5.0510
angles (deg): 90.00 90.00 90.00
Last column: nearest neighbours and their distance in Å.
Fractional positions:
Sc  0.0000  0.0000  0.0000  8 Bi 3.58, 4 I 3.60
Bi  0.0000  0.5000  0.5000  2 B 2.54
Bi  0.5000  0.0000  0.5000  2 B 2.54
B  0.5000  0.5000  0.5000  2 I 2.53, 4 Bi 2.54
I  0.5000  0.5000  0.0000  2 B 2.53

Results
Fermi-level density of states (states/eV/atom): 0.8363
E (Ry/atom): -0.2813
Uncorrected formation energy (eV/atom): 0.637
Space group: P4/mmm, No. 123


> Among the records above, which one has the highest Fermi-level density of states?

Ti2VCr2


What did the sixth record say?
A relaxed ScBi2BI crystal. Source: Alexandria, functional PBE.

a b c (Å): 5.0854 5.0854 5.0510
angles (deg): 90.00 90.00 90.00
Last column: nearest neighbours and their distance in Å.
Fractional positions:
Sc  0.0000  0.0000  0.0000  8 Bi 3.58, 4 I 3.60
Bi  0.0000  0.5000  0.5000  2 B 2.54
Bi  0.5000  0.0000  0.5000  2 B 2.54
B  0.5000  0.5000  0.5000  2 I 2.53, 4 Bi 2.54
I  0.5000  0.5000  0.0000  2 B 2.53

Results
Fermi-level density of states (states/eV/atom): 0.8363
E (Ry/atom): -0.2813
Uncorrected formation energy (eV/atom): 0.637
Space group: P4/mmm, No. 123